# 1
VASP calculation (PBE) on crystalline Pm2NpAl2Ru5 at its relaxed geometry.

Values from the calculation:
SG ... No. 127
Energy of formation ... -0.365 eV/atom

Lattice parameters (Å, degrees): 10.3182 10.3182 3.3613 90.00 90.00 90.00
With the nearest neighbours (Å) after each atom.
Positions (direct):
Pm 0.1704 0.3296 0.0000  3 Al 2.96-3.10, 10 Ru 3.00-3.25
Pm 0.3296 0.8296 0.0000  3 Al 2.96-3.10, 10 Ru 3.00-3.25
Pm 0.6704 0.1704 0.0000  3 Al 2.96-3.10, 10 Ru 3.00-3.25
Pm 0.8296 0.6704 0.0000  3 Al 2.96-3.10, 10 Ru 3.00-3.25
Np 0.0000 0.0000 0.0000  8 Ru 2.74
Np 0.5000 0.5000 0.0000  8 Ru 2.74
Al 0.1265 0.6265 0.0000  6 Ru 2.50-2.54
Al 0.3735 0.1265 0.0000  6 Ru 2.50-2.54
Al 0.6265 0.8735 0.0000  6 Ru 2.50-2.54
Al 0.8735 0.3735 0.0000  6 Ru 2.50-2.54
Ru 0.0000 0.5000 0.5000  4 Al 2.50
Ru 0.0657 0.8010 0.5000  2 Al 2.54, 2 Np 2.74
Ru 0.1990 0.0657 0.5000  2 Al 2.54, 2 Np 2.74
Ru 0.3010 0.5657 0.5000  2 Al 2.54, 2 Np 2.74
Ru 0.4343 0.3010 0.5000  2 Al 2.54, 2 Np 2.74
Ru 0.5000 0.0000 0.5000  4 Al 2.50
Ru 0.5657 0.6990 0.5000  2 Al 2.54, 2 Np 2.74
Ru 0.6990 0.4343 0.5000  2 Al 2.54, 2 Np 2.74
Ru 0.8010 0.9343 0.5000  2 Al 2.54, 2 Np 2.74
Ru 0.9343 0.1990 0.5000  2 Al 2.54, 2 Np 2.74



# 2
VASP calculation (PBE) on crystalline NbCuSi3 at its relaxed geometry.

Values from the calculation:
Formation energy without anion corrections ... 452 kJ/mol of formula units
E above lowest polymorph ... 0.0000 eV per atom
SG ... No. 221

Lattice parameters (Å, degrees): 4.4324 4.4324 4.4324 90.00 90.00 90.00
With the nearest neighbours (Å) after each atom.
Positions (direct):
Nb 0.0000 0.0000 0.0000  12 Si 3.13
Cu 0.5000 0.5000 0.5000  6 Si 2.22
Si 0.0000 0.5000 0.5000  2 Cu 2.22
Si 0.5000 0.0000 0.5000  2 Cu 2.22
Si 0.5000 0.5000 0.0000  2 Cu 2.22



# 3
VASP calculation (PBE) on crystalline DyTm2Ga2 at its relaxed geometry.

Values from the calculation:
E above lowest polymorph ... 0.0000 eV per atom
SG ... No. 127
Energy of formation ... -0.502 eV/atom

Lattice parameters (Å, degrees): 7.6169 7.6169 4.2367 90.00 90.00 90.00
With the nearest neighbours (Å) after each atom.
Positions (direct):
Dy 0.0000 0.0000 0.0000  4 Ga 3.03
Dy 0.5000 0.5000 0.0000  4 Ga 3.03
Tm 0.1742 0.3258 0.5000  6 Ga 3.06-3.11
Tm 0.3258 0.8258 0.5000  6 Ga 3.06-3.11
Tm 0.6742 0.1742 0.5000  6 Ga 3.06-3.11
Tm 0.8258 0.6742 0.5000  6 Ga 3.06-3.11
Ga 0.1203 0.6203 0.0000  1 Ga 2.59
Ga 0.3797 0.1203 0.0000  1 Ga 2.59
Ga 0.6203 0.8797 0.0000  1 Ga 2.59
Ga 0.8797 0.3797 0.0000  1 Ga 2.59



# 4
VASP calculation (PBE) on crystalline Al2Tl2SnO6 at its relaxed geometry.

Values from the calculation:
Formation energy without anion corrections ... -1838 kJ/mol of formula units
SG ... No. 166

Lattice parameters (Å, degrees): 6.8025 6.8025 6.8025 50.88 50.88 50.88
With the nearest neighbours (Å) after each atom.
Positions (direct):
Al 0.1054 0.1054 0.1054  3 O 1.71
Al 0.8946 0.8946 0.8946  3 O 1.71
Tl 0.2973 0.2973 0.2973  9 O 2.87-3.11
Tl 0.7027 0.7027 0.7027  9 O 2.87-3.11
Sn 0.5000 0.5000 0.5000  6 O 2.08
O 0.2411 0.7354 0.7354  1 Al 1.71
O 0.2646 0.2646 0.7589  1 Al 1.71
O 0.2646 0.7589 0.2646  1 Al 1.71
O 0.7354 0.2411 0.7354  1 Al 1.71
O 0.7354 0.7354 0.2411  1 Al 1.71
O 0.7589 0.2646 0.2646  1 Al 1.71



# 5
VASP calculation (PBE) on crystalline NaCa2TlNi at its relaxed geometry.

Values from the calculation:
SG ... No. 123
Energy of formation ... -0.095 eV/atom

Lattice parameters (Å, degrees): 5.4676 5.4676 5.0767 90.00 90.00 90.00
With the nearest neighbours (Å) after each atom.
Positions (direct):
Na 0.0000 0.0000 0.0000  8 Ca 3.73, 4 Tl 3.87
Ca 0.0000 0.5000 0.5000  2 Ni 2.73
Ca 0.5000 0.0000 0.5000  2 Ni 2.73
Tl 0.5000 0.5000 0.0000  2 Ni 2.54
Ni 0.5000 0.5000 0.5000  2 Tl 2.54, 4 Ca 2.73



# 6
VASP calculation (PBE) on crystalline ZnCrIN2 at its relaxed geometry.

Values from the calculation:
Formation energy without anion corrections ... 318 kJ/mol of formula units
E above lowest polymorph ... 0.0000 eV per atom
SG ... No. 123

Lattice parameters (Å, degrees): 3.7637 3.7637 5.6769 90.00 90.00 90.00
With the nearest neighbours (Å) after each atom.
Positions (direct):
Zn 0.0000 0.0000 0.0000  4 I 2.66
Cr 0.5000 0.5000 0.5000  4 N 1.88
I 0.5000 0.5000 0.0000  4 Zn 2.66, 2 Cr 2.84
N 0.0000 0.5000 0.5000  2 Cr 1.88
N 0.5000 0.0000 0.5000  2 Cr 1.88